Record 1
Crystalline AgPt2Au at its relaxed geometry, computed with GGA-PBEsol.

Properties
Energy relative to the lowest polymorph listed for this composition: 0.040 eV per atom
Calculated volume: 63.1 Å³ per cell
Total moment: 0.00 Bohr magnetons per cell
DOS at the Fermi energy: 1.00 states/eV/atom
Mass density: 18.30 Mg/m³

Structure (POSCAR):
```
AgPt2Au
1.0
2.778 0.000 0.000
0.000 3.984 0.000
0.000 0.000 5.698
Ag Pt Au
1 2 1
Cartesian
0.000 0.000 0.000
0.000 0.000 2.911
1.389 1.992 4.226
1.389 1.992 1.428
```

***

Record 2
Crystalline Zr2MnCl at its relaxed geometry, computed with GGA-PBEsol.

Properties
Energy relative to the lowest polymorph listed for this composition: 0.292 eV per atom
Calculated volume: 81.8 Å³ per cell
Total moment: 4.10 Bohr magnetons per cell
DOS at the Fermi energy: 0.61 states/eV/atom
Mass density: 5.54 Mg/m³

Structure (POSCAR):
```
Zr2MnCl
1.0
3.092 0.000 0.000
0.000 3.092 0.000
0.000 0.000 8.557
Zr Mn Cl
2 1 1
Cartesian
0.000 0.000 0.000
1.546 1.546 2.329
1.546 1.546 6.702
0.000 0.000 3.986
```

***

Record 3
Crystalline NaHfBr3 at its relaxed geometry, computed with GGA-PBEsol.

Properties
E: -21.76 eV for the cell shown
Calculated volume: 144.2 Å³ per cell
Total moment: 0.00 Bohr magnetons per cell
DOS at the Fermi energy: 0.43 states/eV/atom
Mass density: 5.08 Mg/m³

Structure (POSCAR):
```
NaHfBr3
1.0
5.244 0.000 0.000
0.000 5.244 0.000
0.000 0.000 5.244
Na Hf Br
1 1 3
Cartesian
0.000 0.000 0.000
2.622 2.622 2.622
0.000 2.622 2.622
2.622 0.000 2.622
2.622 2.622 0.000
```

***

Record 4
Crystalline Fe6Co at its relaxed geometry, computed with GGA-PBEsol.

Properties
Energy relative to the lowest polymorph listed for this composition: 0.001 eV per atom
Calculated volume: 152.7 Å³ per cell
Total moment: 31.40 Bohr magnetons per cell
DOS at the Fermi energy: 0.85 states/eV/atom
Mass density: 8.57 Mg/m³

Structure (POSCAR):
```
Fe6Co
1.0
8.850 0.000 0.000
0.000 2.785 0.000
-0.889 0.000 6.194
Fe Co
12 2
Cartesian
0.432 0.000 1.329
0.447 1.393 5.749
1.323 0.000 3.979
2.213 1.393 2.215
3.089 0.000 0.445
3.103 1.393 4.865
4.857 1.393 1.329
4.871 0.000 5.749
5.748 1.393 3.979
6.638 0.000 2.215
7.514 1.393 0.445
7.528 0.000 4.865
-0.444 1.393 3.097
3.980 0.000 3.097
```

***

Record 5
Crystalline P2IrS2 at its relaxed geometry, computed with GGA-PBEsol.

Properties
Energy relative to the lowest polymorph listed for this composition: 0.000 eV per atom
Calculated volume: 95.7 Å³ per cell
Total moment: 0.00 Bohr magnetons per cell
DOS at the Fermi energy: 0.91 states/eV/atom
Mass density: 5.52 Mg/m³

Structure (POSCAR):
```
P2IrS2
1.0
4.455 0.000 0.000
0.000 4.455 0.000
0.000 0.000 4.823
P Ir S
2 1 2
Cartesian
0.000 2.228 0.000
2.228 0.000 0.000
0.000 0.000 0.000
0.000 0.000 2.412
2.228 2.228 2.412
```

***

Record 6
Crystalline LaAgSeBr2 at its relaxed geometry, computed with GGA-PBEsol.

Properties
E: -19.94 eV for the cell shown
Calculated volume: 187.1 Å³ per cell
Total moment: 0.00 Bohr magnetons per cell
DOS at the Fermi energy: 0.15 states/eV/atom
Mass density: 4.31 Mg/m³

Structure (POSCAR):
```
LaAgSeBr2
1.0
5.702 0.000 0.000
0.000 5.702 0.000
0.000 0.000 5.753
La Ag Se Br
1 1 1 2
Cartesian
0.000 0.000 0.000
2.851 2.851 2.876
0.000 0.000 2.876
0.000 2.851 0.000
2.851 0.000 0.000
```

***

Record 7
Crystalline AlZn2Se at its relaxed geometry, computed with GGA-PBEsol.

Properties
Energy relative to the lowest polymorph listed for this composition: 0.143 eV per atom
Calculated volume: 285.9 Å³ per cell
Total moment: 0.00 Bohr magnetons per cell
DOS at the Fermi energy: 0.27 states/eV/atom
Mass density: 5.50 Mg/m³

Structure (POSCAR):
```
AlZn2Se
1.0
6.588 0.000 0.000
0.000 6.588 0.000
0.000 0.000 6.588
Al Zn Se
4 8 4
Cartesian
0.000 0.000 0.000
0.000 3.294 3.294
3.294 0.000 3.294
3.294 3.294 0.000
1.647 1.647 1.647
1.647 1.647 4.941
1.647 4.941 1.647
1.647 4.941 4.941
4.941 1.647 1.647
4.941 1.647 4.941
4.941 4.941 1.647
4.941 4.941 4.941
0.000 0.000 3.294
0.000 3.294 0.000
3.294 0.000 0.000
3.294 3.294 3.294
```

***

Record 8
Crystalline ScTc2AuS at its relaxed geometry, computed with GGA-PBEsol.

Properties
E: -29.49 eV for the cell shown
Calculated volume: 117.8 Å³ per cell
Total moment: 4.97 Bohr magnetons per cell
DOS at the Fermi energy: 1.14 states/eV/atom
Mass density: 6.62 Mg/m³

Structure (POSCAR):
```
ScTc2AuS
1.0
4.846 0.000 0.000
0.000 4.846 0.000
0.000 0.000 5.017
Sc Tc Au S
1 2 1 1
Cartesian
0.000 0.000 0.000
0.000 2.423 2.508
2.423 0.000 2.508
0.000 0.000 2.508
2.423 2.423 0.000
```

***

Record 9
Crystalline Ca2YSe at its relaxed geometry, computed with GGA-PBEsol.

Properties
Energy relative to the lowest polymorph listed for this composition: 0.029 eV per atom
Calculated volume: 244.1 Å³ per cell
Total moment: 0.17 Bohr magnetons per cell
DOS at the Fermi energy: 1.21 states/eV/atom
Mass density: 3.37 Mg/m³

Structure (POSCAR):
```
Ca2YSe
1.0
3.794 0.000 0.000
0.000 4.228 0.000
0.000 0.000 15.216
Ca Y Se
4 2 2
Cartesian
0.000 0.000 0.000
0.000 2.114 7.608
1.897 0.000 5.159
1.897 2.114 12.767
1.897 0.000 9.798
1.897 2.114 2.189
0.000 0.000 12.113
0.000 2.114 4.505
```

***

Record 10
Crystalline Cr2O3 at its relaxed geometry, computed with GGA-PBEsol.

Properties
E: -91.50 eV for the cell shown
Calculated volume: 95.9 Å³ per cell
Total moment: 12.00 Bohr magnetons per cell
Mass density: 5.26 Mg/m³

Structure (POSCAR):
```
Cr2O3
1.0
2.488 1.437 4.471
-2.488 1.437 4.471
0.000 -2.873 4.471
Cr O
4 6
Cartesian
0.000 0.000 2.008
0.000 0.000 4.698
0.000 0.000 8.714
0.000 0.000 11.404
-1.738 -0.137 5.588
-0.750 -1.574 7.824
0.988 -1.437 5.588
-0.988 1.437 7.824
0.750 1.574 5.588
1.738 0.137 7.824
```

***

Record 11
Crystalline Ta2FeTe at its relaxed geometry, computed with GGA-PBEsol.

Properties
E: -36.52 eV for the cell shown
Calculated volume: 65.7 Å³ per cell
Total moment: 1.36 Bohr magnetons per cell
DOS at the Fermi energy: 1.12 states/eV/atom
Mass density: 13.78 Mg/m³

Structure (POSCAR):
```
Ta2FeTe
1.0
3.912 0.000 0.000
0.000 3.912 0.000
0.000 0.000 4.295
Ta Fe Te
2 1 1
Cartesian
0.000 1.956 0.000
1.956 0.000 0.000
0.000 0.000 2.147
1.956 1.956 2.147
```

***

Record 12
Crystalline TaAlFe2 at its relaxed geometry, computed with GGA-PBEsol.

Properties
E: -36.11 eV for the cell shown
Calculated volume: 50.5 Å³ per cell
Total moment: 0.00 Bohr magnetons per cell
DOS at the Fermi energy: 0.25 states/eV/atom
Mass density: 10.51 Mg/m³

Structure (POSCAR):
```
TaAlFe2
1.0
2.964 0.000 0.000
0.000 2.964 0.000
0.000 0.000 5.745
Ta Al Fe
1 1 2
Cartesian
0.000 0.000 0.000
0.000 0.000 2.873
1.482 1.482 1.451
1.482 1.482 4.295
```

***

- calculated volume of number 3 (NaHfBr3)?
  144.2 Å³ per cell

***

Please write out number 9 again, unchanged.
Crystalline Ca2YSe at its relaxed geometry, computed with GGA-PBEsol.

Properties
Energy relative to the lowest polymorph listed for this composition: 0.029 eV per atom
Calculated volume: 244.1 Å³ per cell
Total moment: 0.17 Bohr magnetons per cell
DOS at the Fermi energy: 1.21 states/eV/atom
Mass density: 3.37 Mg/m³

Structure (POSCAR):
```
Ca2YSe
1.0
3.794 0.000 0.000
0.000 4.228 0.000
0.000 0.000 15.216
Ca Y Se
4 2 2
Cartesian
0.000 0.000 0.000
0.000 2.114 7.608
1.897 0.000 5.159
1.897 2.114 12.767
1.897 0.000 9.798
1.897 2.114 2.189
0.000 0.000 12.113
0.000 2.114 4.505
```

***

- mass density of number 8 (ScTc2AuS)?
  6.62 Mg/m³